This record from Alexandria describes a relaxed Pr2NiB2Rh5 crystal. The functional is GGA-PBE.

The value obtained for the mass density is 9.61 Mg/m³. The calculated total energy comes out at -6.99 eV/atom. The calculation puts the density of states at the Fermi level at 16.53 states/eV/cell. The crystal system is tetragonal. For the total magnetization, the calculation gives 0.08 μB/atom.

The structure belongs to space group P4/mbm (No. 127); the cell edges are 9.6516, 9.6516 and 3.2526 Å and the angles 90.00°, 90.00° and 90.00°. The inequivalent atoms are Pr at (0.1777, 0.3223, 0.0000), Ni at (0.0000, 0.0000, 0.0000), B at (0.1222, 0.6222, 0.0000), Rh at (0.0000, 0.5000, 0.5000) and Rh at (0.0688, 0.7769, 0.5000).